The following is a DFT calculation (PBE) of an optimized crystal structure of PuH7Ru2Au.

Geometry as CIF:
```
data_PuH7Ru2Au
_space_group_name_H-M_alt 'I -4 m 2'
_space_group_IT_number 119
_space_group_name_Hall 'I -4 -2'
_cell_length_a 3.598
_cell_length_b 3.598
_cell_length_c 16.500
_cell_angle_alpha 90.00
_cell_angle_beta 90.00
_cell_angle_gamma 90.00
loop_
_atom_site_label
_atom_site_type_symbol
_atom_site_fract_x
_atom_site_fract_y
_atom_site_fract_z
Pu1 Pu 0.000 0.000 0.000
H1 H 0.000 0.000 0.285
H2 H 0.000 0.000 0.500
H3 H 0.000 0.500 0.099
H4 H 0.000 0.500 0.609
Ru1 Ru 0.000 0.000 0.392
Au1 Au 0.000 0.500 0.250
```

Values from the calculation:
Density   10.1 g/cm3
Final energy   -5.456 eV/atom